Record 1
CeYMg2 | PBEsol | optimized geometry

Cell lengths 7.526, 7.526, 7.526 Å; angles 90.00, 90.00, 90.00 degrees
Space group Fm-3m (No. 225)
Symmetry-distinct sites (fractional):
Ce (0.000, 0.000, 0.000)
Y (0.000, 0.000, 0.500)
Mg (0.250, 0.250, 0.250)

Results
- size of the total moment (μB/cell) = 3.3
- formation energy from the elements (meV/atom) = 30
- V (Å³ per atom) = 26.64

Record 2
LiZrP | PBEsol | optimized geometry

Cell lengths 3.8019, 3.8019, 3.4814 Å; angles 90.00, 90.00, 120.00 degrees
Space group P-6m2 (No. 187)
Symmetry-distinct sites (fractional):
Li (0.0000, 0.0000, 0.0000)
Zr (0.6667, 0.3333, 0.5000)
P (0.3333, 0.6667, 0.0000)

Results
- size of the total moment (μB/cell) = 0.0
- formation energy from the elements (meV/atom) = -934
- V (Å³ per atom) = 14.53

Record 3
Li7SiPO8 | PBEsol | optimized geometry

Cell lengths 5.009, 6.153, 10.584 Å; angles 88.53, 89.36, 89.69 degrees
Space group P1 (No. 1)
Symmetry-distinct sites (fractional):
Li (0.000, 0.000, 0.000)
Li (0.003, 0.794, 0.250)
Li (0.118, 0.541, 0.123)
Li (0.224, 0.188, 0.393)
Li (0.369, 0.231, 0.093)
Li (0.376, 0.531, 0.331)
Li (0.428, 0.523, 0.830)
Li (0.474, 0.027, 0.828)
Li (0.488, 0.286, 0.599)
Li (0.540, 0.951, 0.323)
Li (0.791, 0.451, 0.988)
Li (0.840, 0.003, 0.513)
Li (0.860, 0.761, 0.745)
Li (0.867, 0.526, 0.496)
Si (0.515, 0.762, 0.075)
Si (0.833, 0.264, 0.256)
P (0.349, 0.775, 0.578)
P (0.974, 0.263, 0.746)
O (0.040, 0.762, 0.580)
O (0.284, 0.275, 0.748)
O (0.378, 0.759, 0.217)
O (0.402, 0.975, 0.998)
O (0.420, 0.532, 0.009)
O (0.437, 0.989, 0.505)
O (0.459, 0.777, 0.713)
O (0.467, 0.576, 0.507)
O (0.505, 0.263, 0.267)
O (0.843, 0.747, 0.081)
O (0.853, 0.464, 0.811)
O (0.879, 0.053, 0.817)
O (0.879, 0.263, 0.606)
O (0.918, 0.040, 0.338)
O (0.950, 0.260, 0.111)
O (0.981, 0.467, 0.327)

Results
- size of the total moment (μB/cell) = 0.0
- V (Å³ per atom) = 9.59
- energy relative to the elements, uncorrected (eV/atom) = -2.3811